Density functional theory data (PBE) for an optimized crystal structure of Dy2Ho3NpN6.

Values from the calculation:
M_tot, μB/cell: 2.7
Energy, eV per atom: -8.78
Energy relative to the elements, uncorrected, eV per formula unit: -19.574
Crystal system: monoclinic
N(E_F), states/eV per atom: 0.627

Lattice parameters (Å, degrees): 5.9740 5.9740 5.9652 99.58 99.58 120.02
Last column: nearest neighbours and their distance in Å.
Element x y z (fractional)
Dy: 0.1666 0.8334 0.0000  6 N 2.45-2.46
Dy: 0.8334 0.1666 0.0000  6 N 2.45-2.46
Ho: 0.0000 0.0000 0.5000  6 N 2.42-2.54
Ho: 0.3321 0.6679 0.5000  6 N 2.42-2.51
Ho: 0.6679 0.3321 0.5000  6 N 2.42-2.51
Np: 0.5000 0.5000 0.0000  6 N 2.34-2.36
N: 0.0981 0.4182 0.7550  1 Np 2.36, 3 Ho 2.42-2.51, 2 Dy 2.45-2.46
N: 0.2623 0.2623 0.2417  1 Np 2.34, 3 Ho 2.44-2.54, 2 Dy 2.45
N: 0.4182 0.0981 0.7550  1 Np 2.36, 3 Ho 2.42-2.51, 2 Dy 2.45-2.46
N: 0.5818 0.9019 0.2450  1 Np 2.36, 3 Ho 2.42-2.51, 2 Dy 2.45-2.46
N: 0.7377 0.7377 0.7583  1 Np 2.34, 3 Ho 2.44-2.54, 2 Dy 2.45
N: 0.9019 0.5818 0.2450  1 Np 2.36, 3 Ho 2.42-2.51, 2 Dy 2.45-2.46